Computed, not measured: a crystal of TaHgAu2 relaxed with PBEsol at the SCAN level of DFT.

Properties
- DOS(E_F): 2.216 states/eV/cell
- Symmetry: Immm (71)
- Calculated total energy: -68.1035 eV per atom

```
TaHgAu2
1.0
2.828 0.000 0.000
0.000 5.120 0.000
-1.414 -2.560 5.068
Hg Au Ta
1 2 1
Cartesian
0.000 2.560 0.000
1.414 2.560 2.678
0.000 0.000 2.391
1.414 0.000 0.000
```

***

Computed, not measured: a crystal of Ta2HgAu relaxed with PBEsol at the SCAN level of DFT.

Properties
- DOS(E_F): 2.634 states/eV/cell
- Symmetry: Pm (6)
- Calculated total energy: -67.5046 eV per atom

```
Ta2HgAu
1.0
-2.577 0.133 -1.318
1.756 -2.364 -3.672
-1.173 -4.480 2.324
Ta Au Hg
2 1 1
Cartesian
-1.566 -2.332 -2.264
-3.524 -4.232 1.040
-1.541 -2.042 0.578
-0.987 -4.626 -0.510
```

***

Computed, not measured: a crystal of Tc2HgAu relaxed with PBEsol at the SCAN level of DFT.

Properties
- DOS(E_F): 3.034 states/eV/cell
- Symmetry: I-4m2 (119)
- Calculated total energy: -51.3698 eV per atom

```
Tc2HgAu
1.0
-2.319 3.233 0.237
-3.209 -2.331 0.396
3.222 -0.411 3.627
Au Hg Tc
1 1 2
Cartesian
-2.764 0.451 0.317
-1.375 -1.146 2.170
0.000 0.000 0.000
-0.931 1.636 2.090
```

***

Computed, not measured: a crystal of TcHgAu2 relaxed with PBEsol at the SCAN level of DFT.

Properties
- DOS(E_F): 2.319 states/eV/cell
- Symmetry: R-3m (166)
- Calculated total energy: -60.0751 eV per atom

```
TcHgAu2
1.0
-2.113 -1.298 1.431
0.106 -2.824 0.458
3.948 0.126 8.810
Au Tc Hg
2 1 1
Cartesian
1.530 -2.973 8.157
0.410 -1.023 2.542
0.000 0.000 0.000
0.970 -1.998 5.350
```